## TmBiCl6 (PBE-GGA)

Data for a relaxed TmBiCl6 crystal.

Properties
- crystal system = monoclinic
- ΔE to the lowest computed polymorph (eV per atom) = 0.0000
- uncorrected formation energy (eV per atom) = -1.603

a b c (Å): 6.6546 12.8167 6.6555
angles (deg): 90.00 106.37 90.00
Fractional positions:
Tm  0.0000  0.0000  0.0000
Tm  0.5000  0.5000  0.0000
Bi  0.0000  0.5000  0.5000
Bi  0.5000  0.0000  0.5000
Cl  0.2405  0.1401  0.2410
Cl  0.2405  0.8599  0.2410
Cl  0.2450  0.0000  0.7561
Cl  0.2550  0.5000  0.2439
Cl  0.2595  0.3599  0.7590
Cl  0.2595  0.6401  0.7590
Cl  0.7405  0.3599  0.2410
Cl  0.7405  0.6401  0.2410
Cl  0.7450  0.5000  0.7561
Cl  0.7550  0.0000  0.2439
Cl  0.7595  0.1401  0.7590
Cl  0.7595  0.8599  0.7590